[1]
Crystalline PuNpPaO6 at its relaxed geometry. Source: the Alexandria database, functional GGA-PBE.

It has space group P-31c (No. 163), with a = 5.9220 Å, b = 5.9220 Å, c = 9.3583 Å, α = 90.00°, β = 90.00° and γ = 120.00°. The distinct sites, in fractional coordinates, are Pu at (0.0000, 0.0000, 0.0000), Np at (0.3333, 0.6667, 0.2500), Pa at (0.3333, 0.6667, 0.7500) and O at (0.0032, 0.3453, 0.6347).

For the magnetic moment, the calculation gives 16.0 μB per cell. The value obtained for the uncorrected formation energy is -3.13 eV per atom.



[2]
Crystalline RbNpPaO6 at its relaxed geometry. Source: the Alexandria database, functional GGA-PBE.

It has space group Imma (No. 74), with a = 7.9664 Å, b = 7.9849 Å, c = 11.2406 Å, α = 90.00°, β = 90.00° and γ = 90.00°. The distinct sites, in fractional coordinates, are Rb at (0.0000, 0.2500, 0.1227), Np at (0.0000, 0.0000, 0.5000), Pa at (0.2500, 0.2500, 0.7500), O at (0.0000, 0.2500, 0.4412), O at (0.0000, 0.2500, 0.8217) and O at (0.1841, 0.0515, 0.6231).

For the magnetic moment, the calculation gives 4.0 μB per cell. The value obtained for the uncorrected formation energy is -2.98 eV per atom.



[3]
Crystalline Rb2NpPaO6 at its relaxed geometry. Source: the Alexandria database, functional GGA-PBE.

It has space group P4/mmm (No. 123), with a = 4.3701 Å, b = 4.3701 Å, c = 8.7459 Å, α = 90.00°, β = 90.00° and γ = 90.00°. The distinct sites, in fractional coordinates, are Rb at (0.0000, 0.0000, 0.2437), Np at (0.5000, 0.5000, 0.0000), Pa at (0.5000, 0.5000, 0.5000), O at (0.0000, 0.5000, 0.0000), O at (0.0000, 0.5000, 0.5000) and O at (0.5000, 0.5000, 0.2464).

For the magnetic moment, the calculation gives 2.0 μB per cell. The value obtained for the uncorrected formation energy is -2.88 eV per atom.



[4]
Crystalline Rb2NpPaO8 at its relaxed geometry. Source: the Alexandria database, functional GGA-PBE.

It has space group P2/m (No. 10), with a = 5.8883 Å, b = 7.0672 Å, c = 5.9305 Å, α = 90.00°, β = 91.47° and γ = 90.00°. The distinct sites, in fractional coordinates, are Rb at (0.0000, 0.2472, 0.0000), Np at (0.5000, 0.0000, 0.5000), Pa at (0.5000, 0.5000, 0.5000), O at (0.2708, 0.5000, 0.2655), O at (0.2784, 0.0000, 0.2731) and O at (0.3442, 0.2366, 0.6504).

For the magnetic moment, the calculation gives 0.0 μB per cell. The value obtained for the uncorrected formation energy is -2.31 eV per atom.



[5]
Crystalline Rb4Np3PaO12 at its relaxed geometry. Source: the Alexandria database, functional GGA-PBE.

It has space group Im-3m (No. 229), with a = 8.6996 Å, b = 8.6996 Å, c = 8.6996 Å, α = 90.00°, β = 90.00° and γ = 90.00°. The distinct sites, in fractional coordinates, are Rb at (0.2500, 0.2500, 0.2500), Np at (0.0000, 0.0000, 0.5000), Pa at (0.0000, 0.0000, 0.0000), O at (0.0000, 0.0000, 0.2521) and O at (0.0000, 0.2500, 0.5000).

For the magnetic moment, the calculation gives 12.0 μB per cell. The value obtained for the uncorrected formation energy is -2.76 eV per atom.



[6]
Crystalline Rb2NpPa3O12 at its relaxed geometry. Source: the Alexandria database, functional GGA-PBE.

It has space group R-3m (No. 166, hexagonal axes), with a = 8.0121 Å, b = 8.0121 Å, c = 19.8454 Å, α = 90.00°, β = 90.00° and γ = 120.00°. The distinct sites, in fractional coordinates, are Rb at (0.0000, 0.0000, 0.1076), Np at (0.0000, 0.0000, 0.5000), Pa at (0.0000, 0.5000, 0.0000), O at (0.0751, 0.5375, 0.3567) and O at (0.0941, 0.5471, 0.1082).

For the magnetic moment, the calculation gives 0.0 μB per cell. The value obtained for the uncorrected formation energy is -3.07 eV per atom.